1.
PBE Pr2Nd2S2O5, relaxed; total moment = 0.00 μB/cell; calculated total energy = -81.35 eV/cell; symmetry = I4/mmm, No. 139
1.0
-2.0812 2.0812 13.4304
2.0812 -2.0812 13.4304
2.0812 2.0812 -13.4304
Pr Nd S O
2 2 2 5
direct
0.0808 0.0808 0.0000
0.9192 0.9192 0.0000
0.3363 0.3363 0.0000
0.6637 0.6637 0.0000
0.2346 0.2346 0.0000
0.7654 0.7654 0.0000
0.0000 0.0000 0.0000
0.1222 0.6222 0.5000
0.3778 0.8778 0.5000
0.6222 0.1222 0.5000
0.8778 0.3778 0.5000

=====

2.
PBE Ba2H6PdAu, relaxed; calculated total energy = -36.52 eV/cell; symmetry = Fm-3m, No. 225
1.0
0.0000 4.0422 4.0422
4.0422 0.0000 4.0422
4.0422 4.0422 0.0000
Ba H Pd Au
2 6 1 1
direct
0.2500 0.2500 0.2500
0.7500 0.7500 0.7500
0.2285 0.2285 0.7715
0.2285 0.7715 0.2285
0.2285 0.7715 0.7715
0.7715 0.2285 0.2285
0.7715 0.2285 0.7715
0.7715 0.7715 0.2285
0.0000 0.0000 0.0000
0.5000 0.5000 0.5000

=====

3.
PBE BaTmOs, relaxed; total moment = 0.00 μB/cell; offset from the most stable computed form = 1.061 eV/atom; symmetry = F-43m, No. 216
1.0
0.0000 3.4528 3.4528
3.4528 0.0000 3.4528
3.4528 3.4528 0.0000
Ba Tm Os
1 1 1
direct
0.0000 0.0000 0.0000
0.2500 0.2500 0.2500
0.7500 0.7500 0.7500

=====

4.
PBE MgFeSiPt, relaxed; total moment = 0.18 μB/cell; offset from the most stable computed form = 0.000 eV/atom; symmetry = F-43m, No. 216
1.0
0.0000 2.9714 2.9714
2.9714 0.0000 2.9714
2.9714 2.9714 0.0000
Mg Fe Si Pt
1 1 1 1
direct
0.0000 0.0000 0.0000
0.7500 0.7500 0.7500
0.5000 0.5000 0.5000
0.2500 0.2500 0.2500

=====

5.
PBE PrNdZr2Sb2, relaxed; total moment = 0.01 μB/cell; calculated total energy = -39.77 eV/cell; symmetry = I4mm, No. 107
1.0
-2.1826 2.1826 8.5697
2.1826 -2.1826 8.5697
2.1826 2.1826 -8.5697
Pr Nd Zr Sb
1 1 2 2
direct
0.0000 0.0000 0.0000
0.3540 0.3540 0.0000
0.1776 0.6776 0.5000
0.6776 0.1776 0.5000
0.5504 0.5504 0.0000
0.8046 0.8046 0.0000

=====

6.
PBE PrOF, relaxed; total moment = 0.00 μB/cell; calculated total energy = -45.73 eV/cell; symmetry = R-3m, No. 166
1.0
1.9902 1.1490 6.6222
-1.9902 1.1490 6.6222
0.0000 -2.2981 6.6222
Pr O F
2 2 2
direct
0.2417 0.2417 0.2417
0.7583 0.7583 0.7583
0.1222 0.1222 0.1222
0.8778 0.8778 0.8778
0.3699 0.3699 0.3699
0.6301 0.6301 0.6301

=====

7.
PBE AcPuNb, relaxed; total moment = 5.98 μB/cell; offset from the most stable computed form = 0.012 eV/atom; energy of formation = 1328 meV/atom; symmetry = F-43m, No. 216
1.0
0.0000 3.3550 3.3550
3.3550 0.0000 3.3550
3.3550 3.3550 0.0000
Ac Pu Nb
1 1 1
direct
0.0000 0.0000 0.0000
0.2500 0.2500 0.2500
0.5000 0.5000 0.5000

=====

8.
PBE LiNbN2, relaxed; total moment = 0.00 μB/cell; offset from the most stable computed form = 0.000 eV/atom; symmetry = R-3m, No. 166
1.0
1.5455 0.8923 5.0484
-1.5455 0.8923 5.0484
0.0000 -1.7845 5.0484
Li Nb N
1 1 2
direct
0.0000 0.0000 0.0000
0.5000 0.5000 0.5000
0.2416 0.2416 0.2416
0.7584 0.7584 0.7584

=====

9.
PBE NaAcTm, relaxed; total moment = 0.01 μB/cell; offset from the most stable computed form = 0.245 eV/atom; symmetry = F-43m, No. 216
1.0
0.0000 4.0221 4.0221
4.0221 0.0000 4.0221
4.0221 4.0221 0.0000
Na Ac Tm
1 1 1
direct
0.0000 0.0000 0.0000
0.2500 0.2500 0.2500
0.5000 0.5000 0.5000

=====

10.
PBE K3Tl4Pd4, relaxed; calculated total energy = -35.89 eV/cell; symmetry = I-43m, No. 217
1.0
-4.2591 4.2591 4.2591
4.2591 -4.2591 4.2591
4.2591 4.2591 -4.2591
K Tl Pd
3 4 4
direct
0.0000 0.5000 0.5000
0.5000 0.0000 0.5000
0.5000 0.5000 0.0000
0.0000 0.0000 0.6037
0.0000 0.6037 0.0000
0.3963 0.3963 0.3963
0.6037 0.0000 0.0000
0.0000 0.0000 0.2373
0.0000 0.2373 0.0000
0.2373 0.0000 0.0000
0.7627 0.7627 0.7627

=====

11.
PBE LuHfZn, relaxed; total moment = 0.05 μB/cell; offset from the most stable computed form = 0.000 eV/atom; energy of formation = 800 meV/atom; symmetry = F-43m, No. 216
1.0
0.0000 3.3784 3.3784
3.3784 0.0000 3.3784
3.3784 3.3784 0.0000
Lu Hf Zn
1 1 1
direct
0.0000 0.0000 0.0000
0.2500 0.2500 0.2500
0.5000 0.5000 0.5000

=====

12.
PBE Sr2YOsSe6, relaxed; total moment = 1.00 μB/cell; calculated total energy = -52.86 eV/cell; symmetry = P-1, No. 2
1.0
6.6621 0.0000 0.0000
3.2255 6.4556 0.0000
3.3130 2.3758 6.1601
Sr Y Os Se
2 1 1 6
direct
0.2395 0.2914 0.2183
0.7605 0.7086 0.7817
0.5000 0.5000 0.5000
0.0000 0.0000 0.0000
0.1264 0.7191 0.3298
0.2381 0.7190 0.8074
0.3559 0.1292 0.8380
0.6441 0.8708 0.1620
0.7619 0.2810 0.1926
0.8736 0.2809 0.6702

=====

13.
PBE Tb2H2IBr3, relaxed; total moment = 0.00 μB/cell; calculated total energy = -34.09 eV/cell; symmetry = P3m1, No. 156
1.0
3.8915 0.0000 0.0000
-1.9458 3.3702 0.0000
0.0000 0.0000 15.2187
Tb H I Br
2 2 1 3
direct
0.0000 0.0000 0.0000
0.0000 0.0000 0.4942
0.3333 0.6667 0.4948
0.6667 0.3333 0.9967
0.3333 0.6667 0.8584
0.3333 0.6667 0.1249
0.6667 0.3333 0.3697
0.6667 0.3333 0.6196

=====

14.
PBE KPt, relaxed; total moment = 0.00 μB/cell; calculated total energy = -6.63 eV/cell; symmetry = P-6m2, No. 187
1.0
3.0030 0.0000 0.0000
-1.5015 2.6007 0.0000
0.0000 0.0000 5.3638
K Pt
1 1
direct
0.0000 0.0000 0.0000
0.6667 0.3333 0.5000

=====

15.
PBE CoSn2Sb, relaxed; total moment = 1.02 μB/cell; calculated total energy = -17.35 eV/cell; symmetry = F-43m, No. 216
1.0
0.0000 3.5262 3.5262
3.5262 0.0000 3.5262
3.5262 3.5262 0.0000
Co Sn Sb
1 2 1
direct
0.0000 0.0000 0.0000
0.2500 0.2500 0.2500
0.5000 0.5000 0.5000
0.7500 0.7500 0.7500

=====

16.
PBE NdSmCu2Pb2, relaxed; total moment = 0.01 μB/cell; calculated total energy = -26.78 eV/cell; symmetry = P3m1, No. 156
1.0
4.6929 0.0000 0.0000
-2.3464 4.0642 0.0000
0.0000 0.0000 7.5958
Nd Sm Cu Pb
1 1 2 2
direct
0.0000 0.0000 0.0000
0.0000 0.0000 0.5003
0.3333 0.6667 0.1881
0.6667 0.3333 0.6812
0.3333 0.6667 0.7675
0.6667 0.3333 0.2727

=====

17.
PBE ErScH2Br4, relaxed; total moment = 0.00 μB/cell; calculated total energy = -35.51 eV/cell; symmetry = P-6m2, No. 187
1.0
3.7020 0.0000 0.0000
-1.8510 3.2061 0.0000
0.0000 0.0000 14.6053
Er Sc H Br
1 1 2 4
direct
0.0000 0.0000 0.0000
0.0000 0.0000 0.5000
0.3333 0.6667 0.0000
0.6667 0.3333 0.5000
0.3333 0.6667 0.3758
0.3333 0.6667 0.6242
0.6667 0.3333 0.1321
0.6667 0.3333 0.8679

=====

18.
PBE ZnCl2, relaxed; calculated total energy = -31.85 eV/cell; symmetry = Pbcn, No. 60
1.0
5.6503 0.0000 0.0000
0.0000 7.0569 0.0000
0.0000 0.0000 6.1644
Zn Cl
4 8
direct
0.0000 0.1426 0.2500
0.0000 0.8574 0.7500
0.5000 0.3574 0.7500
0.5000 0.6426 0.2500
0.2426 0.1151 0.5752
0.2426 0.8849 0.0752
0.2574 0.3849 0.0752
0.2574 0.6151 0.5752
0.7426 0.3849 0.4248
0.7426 0.6151 0.9248
0.7574 0.1151 0.9248
0.7574 0.8849 0.4248

=====

19.
PBE Rb2AgSbCl6, relaxed; offset from the most stable computed form = 0.000 eV/atom; symmetry = P2_1/c, No. 14
1.0
7.4514 0.0000 0.0000
0.0000 7.5206 0.0000
-7.4069 0.0000 10.6301
Rb Ag Sb Cl
4 2 2 12
direct
0.2380 0.0489 0.2495
0.2380 0.4511 0.7495
0.7620 0.5489 0.2505
0.7620 0.9511 0.7505
0.0000 0.0000 0.5000
0.0000 0.5000 0.0000
0.5000 0.0000 0.0000
0.5000 0.5000 0.5000
0.1754 0.2023 0.9667
0.1754 0.2977 0.4667
0.2673 0.7083 0.9680
0.2673 0.7917 0.4680
0.3176 0.0068 0.7527
0.3176 0.4932 0.2527
0.6824 0.5068 0.7473
0.6824 0.9932 0.2473
0.7327 0.2083 0.5320
0.7327 0.2917 0.0320
0.8246 0.7023 0.5333
0.8246 0.7977 0.0333

=====

20.
PBE YTaIr2, relaxed; total moment = 0.01 μB/cell; energy of formation = -55 meV/atom; symmetry = F-43m, No. 216
1.0
0.0000 3.2729 3.2729
3.2729 0.0000 3.2729
3.2729 3.2729 0.0000
Y Ta Ir
1 1 2
direct
0.0000 0.0000 0.0000
0.7500 0.7500 0.7500
0.2500 0.2500 0.2500
0.5000 0.5000 0.5000

=====

21.
PBE ZrW4N, relaxed; total moment = 0.00 μB/cell; calculated total energy = -60.01 eV/cell; symmetry = Cmmm, No. 65
1.0
3.2954 -3.7727 0.0000
3.2954 3.7727 0.0000
0.0000 0.0000 4.3666
Zr W N
1 4 1
direct
0.0000 0.0000 0.0000
0.2151 0.2151 0.5000
0.3439 0.6561 0.0000
0.6561 0.3439 0.0000
0.7849 0.7849 0.5000
0.5000 0.5000 0.5000

=====

22.
PBE CdCuTcBi, relaxed; total moment = 0.01 μB/cell; offset from the most stable computed form = 0.000 eV/atom; symmetry = F-43m, No. 216
1.0
0.0000 3.3305 3.3305
3.3305 0.0000 3.3305
3.3305 3.3305 0.0000
Cd Cu Tc Bi
1 1 1 1
direct
0.0000 0.0000 0.0000
0.7500 0.7500 0.7500
0.2500 0.2500 0.2500
0.5000 0.5000 0.5000

=====

23.
PBE HoB2MoN, relaxed; total moment = 0.01 μB/cell; offset from the most stable computed form = 0.116 eV/atom; symmetry = P2_1/m, No. 11
1.0
6.0204 0.0000 0.0000
0.0000 3.1189 0.0000
-1.7417 0.0000 6.5427
Ho B Mo N
2 4 2 2
direct
0.2151 0.2500 0.2224
0.7849 0.7500 0.7776
0.0724 0.7500 0.5063
0.4272 0.7500 0.9871
0.5728 0.2500 0.0129
0.9276 0.2500 0.4937
0.2476 0.2500 0.7457
0.7524 0.7500 0.2543
0.1735 0.7500 0.9487
0.8265 0.2500 0.0513

=====

24.
PBE AlCoNiAu, relaxed; total moment = 0.70 μB/cell; offset from the most stable computed form = 0.000 eV/atom; symmetry = F-43m, No. 216
1.0
0.0000 2.9783 2.9783
2.9783 0.0000 2.9783
2.9783 2.9783 0.0000
Al Co Ni Au
1 1 1 1
direct
0.0000 0.0000 0.0000
0.2500 0.2500 0.2500
0.7500 0.7500 0.7500
0.5000 0.5000 0.5000

=====

25.
PBE La2Sm2NCl5, relaxed; total moment = 0.00 μB/cell; calculated total energy = -55.98 eV/cell; symmetry = C2/m, No. 12
1.0
8.7880 -1.9025 0.0000
8.7880 1.9025 0.0000
-2.1267 0.0000 7.6569
La Sm N Cl
2 2 1 5
direct
0.1476 0.1476 0.0903
0.8524 0.8524 0.9097
0.4986 0.4986 0.2092
0.5014 0.5014 0.7908
0.0000 0.0000 0.0000
0.0000 0.0000 0.5000
0.3325 0.3325 0.1747
0.3394 0.3394 0.6348
0.6606 0.6606 0.3652
0.6675 0.6675 0.8253

=====

26.
PBE NaSmNiTe3, relaxed; total moment = 0.00 μB/cell; offset from the most stable computed form = 0.020 eV/atom; symmetry = Cmcm, No. 63
1.0
2.0922 -7.8066 0.0000
2.0922 7.8066 0.0000
0.0000 0.0000 10.8810
Na Sm Ni Te
2 2 2 6
direct
0.2505 0.7495 0.7500
0.7495 0.2505 0.2500
0.0000 0.0000 0.0000
0.0000 0.0000 0.5000
0.4890 0.5110 0.2500
0.5110 0.4890 0.7500
0.0907 0.9093 0.2500
0.3669 0.6331 0.0936
0.3669 0.6331 0.4064
0.6331 0.3669 0.5936
0.6331 0.3669 0.9064
0.9093 0.0907 0.7500